Record 1
Below is a relaxed Ca2InCo crystal, with properties calculated at the PBE-GGA level.

abc: 5.0420 5.0425 3.9180
angles: 90.00 90.00 90.00
With the nearest neighbours (Å) after each atom.
Sites, in units of the cell vectors:
Ca: 0.0000 0.0000 0.0000  4 Co 3.19, 4 In 3.19, 4 Ca 3.57
Ca: 0.5000 0.5000 0.0000  4 In 3.19, 4 Co 3.19, 4 Ca 3.57
Co: 0.5000 0.0000 0.5000  8 Ca 3.19, 4 In 3.57
In: 0.0000 0.5000 0.5000  8 Ca 3.19, 4 Co 3.57

Summary:
Uncorrected energy = -3.38 eV per atom
Space group = P4/mmm
Total magnetic moment = 0.90 μB/f.u.
Density of states at the Fermi level = 5.5 states/eV/cell

---

Record 2
Below is a relaxed La6GaOs2Cl3 crystal, with properties calculated at the PBE-GGA level.

abc: 4.1806 9.0780 10.0076
angles: 106.68 102.06 90.00
With the nearest neighbours (Å) after each atom.
Sites, in units of the cell vectors:
Cl: 0.1687 0.8413 0.3373  6 La 3.22-3.55
La: 0.6625 0.1209 0.3249  2 Os 2.86, 1 Ga 3.04
Os: 0.8347 0.6619 0.6694  6 La 2.70-2.91
Ga: 0.5000 0.0000 0.0000  6 La 3.04-3.07
La: 0.3375 0.8791 0.6751  2 Os 2.86, 1 Ga 3.04
La: 0.6803 0.5681 0.3605  3 Os 2.89-2.91
La: 0.9791 0.7431 0.9581  1 Os 2.70
Os: 0.1653 0.3381 0.3306  6 La 2.70-2.91
La: 0.0209 0.2569 0.0419  1 Os 2.70
Cl: 0.8313 0.1587 0.6627  6 La 3.22-3.55
Cl: 0.5000 0.5000 0.0000  6 La 3.15-3.40
La: 0.3197 0.4319 0.6395  3 Os 2.89-2.91

Summary:
Space group = C2/m
Total magnetic moment = 0.00 μB/f.u.
Density of states at the Fermi level = 7.1 states/eV/cell
Uncorrected formation energy = -11.91 eV per formula unit

---

Record 3
Below is a relaxed ScTcTe2 crystal, with properties calculated at the PBE-GGA level.

abc: 5.2273 5.2273 5.0008
angles: 78.60 78.60 39.58
With the nearest neighbours (Å) after each atom.
Sites, in units of the cell vectors:
Te: 0.9915 0.9915 0.0666  3 Tc 2.76-3.01, 4 Sc 3.04-3.09
Sc: 0.4829 0.4829 0.5649  7 Te 2.79-3.09, 1 Tc 2.99
Tc: 0.2734 0.2734 0.2099  5 Te 2.76-3.01, 1 Sc 2.99
Te: 0.7523 0.7523 0.6585  3 Sc 2.79-2.84, 2 Tc 2.83

Summary:
Space group = Cm
Total magnetic moment = 0.00 μB/f.u.
Density of states at the Fermi level = 2.2 states/eV/cell
Uncorrected formation energy = -1.28 eV per formula unit

---

Record 4
Below is a relaxed CeDy2Th crystal, with properties calculated at the PBE-GGA level.

abc: 3.5418 3.5425 11.3961
angles: 90.00 90.00 60.01
With the nearest neighbours (Å) after each atom.
Sites, in units of the cell vectors:
Dy: 0.3780 0.9988 0.2789  9 Dy 3.52-3.54, 3 Th 3.56
Ce: 0.3777 0.9993 0.7780  3 Th 3.46, 3 Dy 3.48, 6 Ce 3.54
Dy: 0.0446 0.6654 0.5307  3 Ce 3.48, 9 Dy 3.52-3.54
Th: 0.7104 0.3335 0.0231  3 Ce 3.46, 6 Th 3.54, 3 Dy 3.56

Summary:
Uncorrected energy = -5.59 eV per atom
Space group = P3m1
Total magnetic moment = 0.01 μB/f.u.
Density of states at the Fermi level = 7.2 states/eV/cell

---

Record 5
Below is a relaxed PrDy5Ho12 crystal, with properties calculated at the PBE-GGA level.

abc: 14.9992 10.6114 5.0019
angles: 90.00 90.00 45.08
With the nearest neighbours (Å) after each atom.
Sites, in units of the cell vectors:
Ho: 0.3334 0.0000 0.0001  8 Ho 3.52-3.54, 4 Dy 3.53-3.54
Ho: 0.5002 0.3327 0.5000  8 Ho 3.52-3.55, 4 Dy 3.53-3.54
Ho: 0.0002 0.3351 0.0000  8 Ho 3.50-3.55, 3 Dy 3.54-3.55, 1 Pr 3.56
Ho: 0.4998 0.6673 0.5000  8 Ho 3.52-3.55, 4 Dy 3.53-3.54
Ho: 0.3353 0.6649 0.0000  8 Ho 3.50-3.55, 3 Dy 3.54-3.55, 1 Pr 3.56
Dy: 0.8317 0.3365 0.5000  8 Ho 3.52-3.58, 2 Dy 3.53, 2 Pr 3.56
Ho: 0.8316 0.0000 0.4999  8 Ho 3.52-3.55, 2 Pr 3.55, 2 Dy 3.57-3.58
Ho: 0.1684 0.0000 0.5001  8 Ho 3.52-3.55, 2 Pr 3.55, 2 Dy 3.57-3.58
Ho: 0.8328 0.6674 0.5000  8 Ho 3.52-3.55, 4 Dy 3.52-3.53
Dy: 0.5000 0.0000 0.5000  8 Ho 3.53-3.54, 4 Dy 3.54
Dy: 0.6664 0.6672 0.0000  4 Dy 3.53-3.54, 8 Ho 3.53-3.54
Ho: 0.1672 0.3326 0.5000  8 Ho 3.52-3.55, 4 Dy 3.52-3.53
Dy: 0.3336 0.3328 0.0000  4 Dy 3.53-3.54, 8 Ho 3.53-3.54
Pr: 0.0000 0.0000 0.0000  8 Ho 3.55-3.56, 4 Dy 3.56
Ho: 0.6666 0.0000 0.9999  8 Ho 3.52-3.54, 4 Dy 3.53-3.54
Ho: 0.6647 0.3351 0.0000  8 Ho 3.50-3.55, 3 Dy 3.54-3.55, 1 Pr 3.56
Dy: 0.1683 0.6635 0.5000  8 Ho 3.52-3.58, 2 Dy 3.53, 2 Pr 3.56
Ho: 0.9998 0.6649 0.0000  8 Ho 3.50-3.55, 3 Dy 3.54-3.55, 1 Pr 3.56

Summary:
Uncorrected energy = -4.57 eV per atom
Space group = Cmmm
Total magnetic moment = 0.00 μB/f.u.
Density of states at the Fermi level = 24.8 states/eV/cell

---

Record 6
Below is a relaxed LiMg6Zn crystal, with properties calculated at the PBE-GGA level.

abc: 4.6492 7.6606 6.0612
angles: 129.19 90.00 90.00
With the nearest neighbours (Å) after each atom.
Sites, in units of the cell vectors:
Mg: 0.0000 0.3623 0.7246  10 Mg 3.02-3.18, 2 Zn 3.28
Zn: 0.5000 0.6086 0.2172  8 Mg 2.88-3.05
Mg: 0.0000 0.4094 0.2582  2 Zn 2.88, 4 Mg 3.02-3.16, 2 Li 3.04-3.05
Mg: 0.5000 0.6416 0.7416  2 Li 2.92, 6 Mg 3.01-3.25, 2 Zn 3.03-3.05
Li: 0.0000 0.8983 0.7965  10 Mg 2.92-3.19
Mg: 0.5000 0.1000 0.7416  2 Li 2.92, 6 Mg 3.01-3.25, 2 Zn 3.03-3.05
Mg: 0.0000 0.8488 0.2582  2 Zn 2.88, 4 Mg 3.02-3.16, 2 Li 3.04-3.05
Mg: 0.5000 0.1311 0.2621  10 Mg 3.01-3.18, 2 Li 3.19

Summary:
Uncorrected energy = -1.62 eV per atom
Space group = Amm2
Total magnetic moment = 0.00 μB/f.u.
Density of states at the Fermi level = 2.7 states/eV/cell

---

Record 7
Below is a relaxed Mo2P2Rh crystal, with properties calculated at the PBE-GGA level.

abc: 6.7347 6.7347 3.0985
angles: 90.00 90.00 90.00
With the nearest neighbours (Å) after each atom.
Sites, in units of the cell vectors:
Rh: 0.5000 0.5000 0.0000  4 P 2.56
Mo: 0.6462 0.8538 0.5000  6 P 2.47-2.53
P: 0.6516 0.1516 0.0000  6 Mo 2.47-2.53, 2 Rh 2.56
Mo: 0.3538 0.1462 0.5000  6 P 2.47-2.53
Rh: 0.0000 0.0000 0.0000  4 P 2.56
Mo: 0.1462 0.6462 0.5000  6 P 2.47-2.53
P: 0.8484 0.6516 0.0000  6 Mo 2.47-2.53, 2 Rh 2.56
Mo: 0.8538 0.3538 0.5000  6 P 2.47-2.53
P: 0.3484 0.8484 0.0000  6 Mo 2.47-2.53, 2 Rh 2.56
P: 0.1516 0.3484 0.0000  6 Mo 2.47-2.53, 2 Rh 2.56

Summary:
Uncorrected energy = -8.28 eV per atom
Space group = P4/mbm
Total magnetic moment = 0.00 μB/f.u.
Density of states at the Fermi level = 12.0 states/eV/cell

---

Record 8
Below is a relaxed AsSBr2F crystal, with properties calculated at the PBE-GGA level.

abc: 5.7399 5.7399 3.8804
angles: 90.00 90.00 90.00
With the nearest neighbours (Å) after each atom.
Sites, in units of the cell vectors:
Br: 0.5000 0.0000 0.0000  2 F 2.87
F: 0.0000 0.0000 0.0000  2 As 1.94
As: 0.0000 0.0000 0.5000  2 F 1.94
Br: 0.0000 0.5000 0.0000  2 F 2.87
S: 0.5000 0.5000 0.5000  8 Br 3.46

Summary:
Space group = P4/mmm
Total magnetic moment = 2.64 μB/f.u.
Density of states at the Fermi level = 2.6 states/eV/cell
Uncorrected formation energy = 2.16 eV per formula unit

---

Record 9
Below is a relaxed TcP2RhS crystal, with properties calculated at the PBE-GGA level.

abc: 4.4384 4.4384 5.0246
angles: 90.00 90.00 90.00
With the nearest neighbours (Å) after each atom.
Sites, in units of the cell vectors:
S: 0.5000 0.5000 0.5000  4 Rh 3.14, 8 P 3.35
P: 0.5000 0.0000 0.0000  2 Tc 2.22
Tc: 0.0000 0.0000 0.0000  4 P 2.22
P: 0.0000 0.5000 0.0000  2 Tc 2.22
Rh: 0.0000 0.0000 0.5000  2 Tc 2.51

Summary:
Space group = P4/mmm
Total magnetic moment = 0.00 μB/f.u.
Density of states at the Fermi level = 5.4 states/eV/cell
Uncorrected formation energy = 4.35 eV per formula unit

---

Record 10
Below is a relaxed Ba3ZrP2N6 crystal, with properties calculated at the PBE-GGA level.

abc: 5.8746 5.8746 7.1207
angles: 90.00 90.00 120.00
With the nearest neighbours (Å) after each atom.
Sites, in units of the cell vectors:
N: 0.3556 0.1778 0.6856  1 P 1.64
Ba: 0.6667 0.3333 0.3150  9 N 2.94-3.08, 1 P 3.07
Ba: 0.3333 0.6667 0.6850  9 N 2.94-3.08, 1 P 3.07
N: 0.6444 0.8222 0.3144  1 P 1.64
P: 0.6667 0.3333 0.7459  3 N 1.64
Zr: 0.0000 0.0000 0.5000  6 N 2.24
N: 0.1778 0.3556 0.3144  1 P 1.64
Ba: 0.0000 0.0000 0.0000  6 N 2.88
N: 0.1778 0.8222 0.3144  1 P 1.64
P: 0.3333 0.6667 0.2541  3 N 1.64
N: 0.8222 0.1778 0.6856  1 P 1.64
N: 0.8222 0.6444 0.6856  1 P 1.64

Summary:
Space group = P-3m1
Total magnetic moment = 0.00 μB/f.u.
Density of states at the Fermi level = 4.2 states/eV/cell
Uncorrected formation energy = -10.87 eV per formula unit

---

Record 11
Below is a relaxed TlCo2P crystal, with properties calculated at the PBE-GGA level.

abc: 4.4426 4.4426 4.4426
angles: 60.00 60.00 60.00
With the nearest neighbours (Å) after each atom.
Sites, in units of the cell vectors:
Tl: 0.2500 0.2500 0.2500  4 P 2.72, 4 Co 2.72
Co: 0.7500 0.7500 0.7500  4 P 2.72, 4 Co 2.72
P: 0.5000 0.5000 0.5000  4 Co 2.72, 4 Tl 2.72
Co: 0.0000 0.0000 0.0000  4 Co 2.72, 4 Tl 2.72

Summary:
Uncorrected energy = -4.73 eV per atom
Space group = F-43m
Total magnetic moment = 3.24 μB/f.u.
Density of states at the Fermi level = 5.6 states/eV/cell

---

Record 12
Below is a relaxed Y2TcPt crystal, with properties calculated at the PBE-GGA level.

abc: 3.4434 3.4434 7.9037
angles: 90.00 90.00 90.00
With the nearest neighbours (Å) after each atom.
Sites, in units of the cell vectors:
Pt: 0.0000 0.0000 0.5486  4 Tc 2.70, 5 Y 3.02-3.03
Y: 0.0000 0.0000 0.9314  1 Pt 3.03, 4 Tc 3.06
Y: 0.5000 0.5000 0.3234  1 Tc 2.95, 4 Pt 3.02
Tc: 0.5000 0.5000 0.6967  4 Pt 2.70, 1 Y 2.95

Summary:
Uncorrected energy = -7.44 eV per atom
Space group = P4mm
Total magnetic moment = 0.00 μB/f.u.
Density of states at the Fermi level = 6.0 states/eV/cell